The following is a DFT calculation (PBE+U) of crystalline Tl3CoTe2O9 at its relaxed geometry.

Results
Raw total energy (eV per atom): -4.9112
Crystal system: trigonal
Mass density (kg/m3): 8731

a = 5.776 Å, b = 5.776 Å, c = 7.051 Å
α = 90.00°, β = 90.00°, γ = 120.00°
Fractional positions:
Tl 0.333 0.667 0.661
Tl 0.000 0.000 0.000
Tl 0.667 0.333 0.339
Co 0.000 0.000 0.500
Te 0.333 0.667 0.178
Te 0.667 0.333 0.822
O 0.830 0.170 0.669
O 0.830 0.661 0.669
O 0.339 0.170 0.669
O 0.661 0.830 0.331
O 0.170 0.339 0.331
O 0.170 0.830 0.331
O 0.500 0.000 0.000
O 0.000 0.500 0.000
O 0.500 0.500 0.000